Entry from Alexandria: PmNbGa4 after structural relaxation (GGA-PBE).

For the formation energy, the calculation gives -314 meV per atom. The crystal system is cubic. For the density of states at the Fermi level, the calculation gives 0.73 states/eV/f.u. As for the magnetization: 0.00 Bohr magnetons per cell.

Unit cell a=5.369 b=5.369 c=5.369 alpha=60.00 beta=60.00 gamma=60.00
Fractional coordinates of all 6 atoms:
Pm: 0.000 0.000 0.000
Nb: 0.750 0.750 0.750
Ga: 0.376 0.376 0.376
Ga: 0.376 0.376 0.873
Ga: 0.376 0.873 0.376
Ga: 0.873 0.376 0.376


Entry from Alexandria: Pm2NbGa after structural relaxation (GGA-PBE).

For the formation energy, the calculation gives 413 meV per atom. The crystal system is trigonal. For the density of states at the Fermi level, the calculation gives 5.79 states/eV/f.u. As for the magnetization: 1.12 Bohr magnetons per cell.

Unit cell a=11.170 b=11.170 c=11.170 alpha=16.82 beta=16.82 gamma=16.82
Fractional coordinates of all 4 atoms:
Pm: 0.091 0.091 0.091
Pm: 0.909 0.909 0.909
Nb: 0.000 0.000 0.000
Ga: 0.500 0.500 0.500


Entry from Alexandria: Pm2NbGa2Ru5 after structural relaxation (GGA-PBE).

For the formation energy, the calculation gives -307 meV per atom. The crystal system is tetragonal. For the density of states at the Fermi level, the calculation gives 7.98 states/eV/f.u. As for the magnetization: 0.00 Bohr magnetons per cell.

Unit cell a=10.235 b=10.235 c=3.353 alpha=90.00 beta=90.00 gamma=90.00
Fractional coordinates of all 20 atoms:
Pm: 0.172 0.328 0.000
Pm: 0.328 0.828 0.000
Pm: 0.672 0.172 0.000
Pm: 0.828 0.672 0.000
Nb: 0.000 0.000 0.000
Nb: 0.500 0.500 0.000
Ga: 0.127 0.627 0.000
Ga: 0.373 0.127 0.000
Ga: 0.627 0.873 0.000
Ga: 0.873 0.373 0.000
Ru: 0.000 0.500 0.500
Ru: 0.065 0.802 0.500
Ru: 0.198 0.065 0.500
Ru: 0.302 0.565 0.500
Ru: 0.435 0.302 0.500
Ru: 0.500 0.000 0.500
Ru: 0.565 0.698 0.500
Ru: 0.698 0.435 0.500
Ru: 0.802 0.935 0.500
Ru: 0.935 0.198 0.500


Entry from Alexandria: Pr2NbGa after structural relaxation (GGA-PBE).

For the formation energy, the calculation gives 456 meV per atom. The crystal system is trigonal. For the density of states at the Fermi level, the calculation gives 5.90 states/eV/f.u. As for the magnetization: 1.14 Bohr magnetons per cell.

Unit cell a=11.348 b=11.348 c=11.348 alpha=16.67 beta=16.67 gamma=16.67
Fractional coordinates of all 4 atoms:
Pr: 0.090 0.090 0.090
Pr: 0.910 0.910 0.910
Nb: 0.000 0.000 0.000
Ga: 0.500 0.500 0.500


Calculated total energy? In order: -4.802; -5.236; -7.507; -5.208 eV/atom.